Entry 1:
Here is a relaxed PaCuSnSe4 crystal from Alexandria. Energies are from GGA-PBE.

a = 6.709 Å, b = 6.370 Å, c = 8.482 Å
α = 90.00°, β = 108.01°, γ = 90.00°
Space group P2_1/m (No. 11)
Inequivalent atoms, fractional coordinates:
Pa 0.239 0.250 0.050 x2
Cu 0.239 0.750 0.844 x2
Sn 0.277 0.250 0.531 x2
Se 0.028 0.512 0.223 x4
Se 0.423 0.750 0.633 x2
Se 0.459 0.750 0.119 x2

Formation energy without anion corrections = -0.747 eV/atom

---

Entry 2:
Here is a relaxed Ac7PmEr2 crystal from Alexandria. Energies are from GGA-PBE.

a = 10.154 Å, b = 16.407 Å, c = 6.129 Å
α = 90.00°, β = 90.00°, γ = 90.00°
Space group Cmmm (No. 65)
Inequivalent atoms, fractional coordinates:
Ac 0.000 0.000 0.000 x2
Ac 0.000 0.258 0.500 x4
Ac 0.185 0.375 0.000 x8
Pm 0.000 0.500 0.500 x2
Er 0.000 0.201 0.000 x4

Formation energy = 0.62 eV per atom

---

Entry 3:
Here is a relaxed K2HgF crystal from Alexandria. Energies are from GGA-PBE.

a = 3.474 Å, b = 3.474 Å, c = 8.650 Å
α = 90.00°, β = 90.00°, γ = 90.00°
Space group P4/mmm (No. 123)
Inequivalent atoms, fractional coordinates:
K 0.000 0.000 0.186 x2
Hg 0.500 0.500 0.500 x1
F 0.500 0.500 0.000 x1

Formation energy without anion corrections = -1.347 eV/atom

---

Please write out number 1 again, unchanged.
Here is a relaxed PaCuSnSe4 crystal from Alexandria. Energies are from GGA-PBE.

a = 6.709 Å, b = 6.370 Å, c = 8.482 Å
α = 90.00°, β = 108.01°, γ = 90.00°
Space group P2_1/m (No. 11)
Inequivalent atoms, fractional coordinates:
Pa 0.239 0.250 0.050 x2
Cu 0.239 0.750 0.844 x2
Sn 0.277 0.250 0.531 x2
Se 0.028 0.512 0.223 x4
Se 0.423 0.750 0.633 x2
Se 0.459 0.750 0.119 x2

Formation energy without anion corrections = -0.747 eV/atom

---

What did the third record say?
Here is a relaxed K2HgF crystal from Alexandria. Energies are from GGA-PBE.

a = 3.474 Å, b = 3.474 Å, c = 8.650 Å
α = 90.00°, β = 90.00°, γ = 90.00°
Space group P4/mmm (No. 123)
Inequivalent atoms, fractional coordinates:
K 0.000 0.000 0.186 x2
Hg 0.500 0.500 0.500 x1
F 0.500 0.500 0.000 x1

Formation energy without anion corrections = -1.347 eV/atom